A relaxed structure of CuPtRh2, computed with PBEsol.

Lattice parameters (Å, degrees): 8.799 2.688 4.626 90.00 100.44 90.00
Space group Cm (No. 8)
One atom of each set of equivalent atoms:
Cu 0.000 0.000 0.000
Pt 0.249 0.000 0.761
Rh 0.250 0.500 0.260
Rh 0.497 0.000 0.491

## Properties
Calculated formation energy ... 0.002 eV per atom
Polymorph energy (0 for the lowest one) ... 0.112 eV/f.u.
N(E_F) ... 10.568 states/eV/cell